Here is a relaxed ScNiTeAs2 crystal from Alexandria. Energies are from PBEsol.

Properties
For the uncorrected formation energy, the calculation gives 1179 meV/atom. Its density of states at the Fermi level is 1.6226 states/eV per atom.

Cell lengths 5.190, 5.201, 5.201 Å; angles 90.00, 90.00, 90.00 degrees
Element x y z (fractional)
Te1 0.000 0.000 0.000
Sc1 0.500 0.000 0.000
Ni1 0.500 0.500 0.500
As1 0.000 0.000 0.500
As2 0.000 0.500 0.000